DFT (GGA-PBE) results for a geometry-optimized Ta3PbW structure.

Calculated values
Crystal system: cubic
Total magnetization in μB per cell: 0.00
DOS at the Fermi energy in states/eV/f.u.: 2.38
E_form in eV per atom: 1.3706

Lattice parameters (Å, degrees): 4.9265 4.9265 4.9265 90.00 90.00 90.00
Space group Pm-3m (No. 221)
One atom of each set of equivalent atoms:
Ta 0.0000 0.0000 0.5000 [3 per cell]
Pb 0.5000 0.5000 0.5000 [1 per cell]
W 0.0000 0.0000 0.0000 [1 per cell]